VASP calculation (meta-GGA SCAN) on Al2AgPt at its PBEsol-relaxed geometry.

Cell lengths 6.2686, 6.2686, 6.2686 Å; angles 90.00, 90.00, 90.00 degrees
Last column: nearest neighbours and their distance in Å.
Space group F-43m (No. 216)
Symmetry-distinct sites (fractional):
Al1 0.0000 0.0000 0.0000 x4  4 Al 2.71, 4 Ag 2.71
Al2 0.2500 0.2500 0.2500 x4  4 Al 2.71, 4 Pt 2.71
Ag1 0.2500 0.2500 0.7500 x4  4 Al 2.71, 4 Pt 2.71
Pt1 0.0000 0.0000 0.5000 x4  4 Al 2.71, 4 Ag 2.71

Results
Its formation energy is -342 meV per atom. As for the total energy: -29.608 eV per atom. The calculation puts the polymorph energy (0 for the lowest one) at 25.6 kJ/mol of atoms. The calculation puts the total moment at 0.00 μB per cell.